[1]
NdY8Er5 | GGA-PBE | optimized geometry

Its formation energy is 246 meV/atom. The calculation puts the total energy at -5.42 eV per atom. The calculation puts the volume at 33.0 Å³/atom.

abc: 9.5055 9.5055 10.2203
angles: 90.00 90.00 90.00
Closest atoms and distances in Å follow each position.
Space group I-4 (No. 82)
Asymmetric unit:
Nd1 0.0000 0.0000 0.0000 x2  4 Y 3.21
Y1 0.0716 0.1782 0.3505 x8  5 Er 3.30-3.53, 3 Y 3.56-3.65
Y2 0.0858 0.3271 0.0031 x8  4 Er 3.12-3.48, 1 Nd 3.21
Er1 0.0000 0.5000 0.2500 x2  8 Y 3.12-3.30
Er2 0.1115 0.2900 0.6774 x8  8 Y 3.36-3.56, 2 Er 3.52

[2]
NdY6Er5 | GGA-PBE | optimized geometry

Its formation energy is 24 meV/atom. The calculation puts the total energy at -5.51 eV per atom. The calculation puts the volume at 31.7 Å³/atom.

abc: 6.1569 10.6514 11.7798
angles: 90.00 99.98 90.00
Closest atoms and distances in Å follow each position.
Space group C2/m (No. 12)
Asymmetric unit:
Nd1 0.0000 0.0000 0.0000 x2  6 Er 3.55, 6 Y 3.57
Y1 0.2495 0.3329 0.7483 x8  5 Er 3.53-3.57, 6 Y 3.55-3.56, 1 Nd 3.57
Y2 0.2493 0.5000 0.2516 x4  5 Er 3.53-3.57, 6 Y 3.55-3.56, 1 Nd 3.57
Er1 0.0000 0.1670 0.5000 x4  6 Y 3.53-3.54, 6 Er 3.55-3.56
Er2 0.0000 0.3333 0.0000 x4  3 Nd 3.55, 3 Er 3.55, 6 Y 3.57
Er3 0.0000 0.5000 0.5000 x2  6 Y 3.53-3.54, 6 Er 3.55-3.56

[3]
Nd4YEr5 | GGA-PBE | optimized geometry

Its formation energy is 289 meV/atom. The calculation puts the total energy at -4.55 eV per atom. The energy relative to the lowest polymorph listed for this composition comes out at 94.4 meV per atom. The calculation puts the volume at 33.4 Å³/atom.

abc: 10.3447 10.3447 6.2393
angles: 90.00 90.00 90.00
Closest atoms and distances in Å follow each position.
Space group I4 (No. 79)
Asymmetric unit:
Nd1 0.0447 0.3462 0.0000 x8  4 Er 3.23-3.55, 1 Nd 3.31
Y1 0.0000 0.0000 0.2319 x2  1 Er 2.91
Er1 0.0000 0.0000 0.7648 x2  1 Y 2.91
Er2 0.1517 0.2269 0.5025 x8  4 Nd 3.23-3.55, 1 Er 3.26, 1 Y 3.29

[4]
Nd12YEr5 | GGA-PBE | optimized geometry

Its formation energy is 22 meV/atom. The calculation puts the total energy at -4.78 eV per atom. The calculation puts the volume at 33.8 Å³/atom.

abc: 10.8725 5.1444 10.8895
angles: 90.00 90.32 90.00
Closest atoms and distances in Å follow each position.
Space group P2/m (No. 10)
Asymmetric unit:
Nd1 0.0020 0.0000 0.1677 x2  3 Er 3.60-3.61, 1 Y 3.62, 8 Nd 3.63-3.67
Nd2 0.1656 0.5000 0.6657 x2  2 Y 3.62, 2 Er 3.62-3.63, 8 Nd 3.64-3.66
Nd3 0.1690 0.5000 0.0021 x2  4 Er 3.60, 8 Nd 3.63-3.67
Nd4 0.3321 0.0000 0.4981 x2  3 Er 3.61, 1 Y 3.61, 8 Nd 3.63-3.67
Nd5 0.3356 0.0000 0.8355 x2  4 Er 3.60-3.61, 8 Nd 3.64-3.67
Nd6 0.4978 0.5000 0.3311 x2  4 Er 3.59-3.61, 8 Nd 3.63-3.68
Y1 0.0000 0.0000 0.5000 x1  8 Nd 3.61-3.62, 4 Er 3.64
Er1 0.1671 0.5000 0.3329 x2  8 Nd 3.59-3.63, 2 Er 3.63, 2 Y 3.64
Er2 0.3332 0.0000 0.1668 x2  8 Nd 3.60-3.61, 4 Er 3.63-3.64
Er3 0.5000 0.5000 0.0000 x1  8 Nd 3.60-3.61, 4 Er 3.64

[5]
NdY4Er2 | GGA-PBE | optimized geometry

Its formation energy is 27 meV/atom. The calculation puts the total energy at -5.65 eV per atom. The energy relative to the lowest polymorph listed for this composition comes out at 0.0 meV per atom. The calculation puts the volume at 32.3 Å³/atom.

abc: 16.6840 3.5494 8.7643
angles: 90.00 119.26 90.00
Closest atoms and distances in Å follow each position.
Space group C2/m (No. 12)
Asymmetric unit:
Nd1 0.0000 0.0000 0.0000 x2  2 Er 3.36, 2 Nd 3.55, 4 Y 3.59
Y1 0.1401 0.5000 0.8307 x4  7 Y 3.55-3.84, 4 Er 3.58-3.59, 2 Nd 3.77
Y2 0.2051 0.5000 0.2939 x4  3 Er 3.32-3.50, 7 Y 3.55-3.71, 2 Nd 3.59
Er1 0.0704 0.0000 0.4306 x4  1 Er 3.13, 3 Y 3.32-3.50, 1 Nd 3.36

[6]
Nd3Y3Er8 | GGA-PBE | optimized geometry

Its formation energy is 112 meV/atom. The calculation puts the total energy at -4.90 eV per atom. The calculation puts the volume at 32.6 Å³/atom.

abc: 5.6285 10.8658 14.9266
angles: 90.00 90.00 90.00
Closest atoms and distances in Å follow each position.
Space group Immm (No. 71)
Asymmetric unit:
Nd1 0.0000 0.0000 0.0000 x2  4 Y 3.58, 4 Nd 3.94
Nd2 0.0000 0.5000 0.3156 x4  2 Y 3.53, 8 Er 3.59-3.74, 2 Nd 3.94
Y1 0.0000 0.0000 0.5000 x2  2 Y 3.23
Y2 0.0000 0.2968 0.5000 x4  1 Y 3.23, 4 Nd 3.53-3.58, 4 Er 3.55
Er1 0.0000 0.1601 0.2778 x8  6 Er 3.29-3.53, 2 Nd 3.59, 1 Y 3.63
Er2 0.0000 0.3437 0.1029 x8  5 Er 3.07-3.40

[7]
NdY3Er | GGA-PBE | optimized geometry

Its formation energy is 10 meV/atom. The calculation puts the total energy at -5.73 eV per atom. The energy relative to the lowest polymorph listed for this composition comes out at 0.0 meV per atom. The calculation puts the volume at 32.9 Å³/atom.

abc: 6.3189 5.7007 9.6620
angles: 90.00 108.95 90.00
Closest atoms and distances in Å follow each position.
Space group P2_1/m (No. 11)
Asymmetric unit:
Nd1 0.1342 0.2500 0.1029 x2  8 Y 3.54-3.71, 2 Nd 3.57, 2 Er 3.64-3.65
Y1 0.0652 0.7500 0.3032 x2  6 Y 3.54-3.66, 3 Er 3.54-3.61, 3 Nd 3.55-3.71
Y2 0.3320 0.2500 0.5004 x2  4 Er 3.53-3.65, 7 Y 3.54-3.66, 1 Nd 3.63
Y3 0.4665 0.7500 0.1021 x2  4 Nd 3.54-3.68, 3 Er 3.54-3.69, 5 Y 3.57-3.66
Er1 0.2673 0.7500 0.6984 x2  10 Y 3.53-3.69, 2 Nd 3.64-3.65

[8]
Nd2YEr | GGA-PBE | optimized geometry

Its formation energy is 20 meV/atom. The calculation puts the total energy at -5.12 eV per atom. The energy relative to the lowest polymorph listed for this composition comes out at 8.0 meV per atom. The calculation puts the volume at 33.3 Å³/atom.

abc: 3.6231 3.6231 10.1441
angles: 90.00 90.00 90.00
Closest atoms and distances in Å follow each position.
Space group P4/mmm (No. 123)
Asymmetric unit:
Nd1 0.0000 0.0000 0.2476 x2  4 Er 3.59, 4 Y 3.62, 4 Nd 3.62
Y1 0.5000 0.5000 0.5000 x1  8 Nd 3.62, 4 Y 3.62
Er1 0.5000 0.5000 0.0000 x1  8 Nd 3.59, 4 Er 3.62